{
  "formula": "Na2RuWO6",
  "functional": "PBE with a Hubbard U",
  "state": "relaxed",
  "lattice": [[3.887, 0.000, 0.000], [0.000, 5.550, 0.000], [0.000, 0.000, 5.550]],
  "species": ["W", "Na", "Na", "O", "O", "O", "O", "O", "O", "Ru"],
  "fractional_positions": [[0.645, 0.000, 0.000], [0.144, 0.500, 0.000], [0.144, 0.000, 0.500], [0.645, 0.755, 0.755], [0.645, 0.245, 0.755], [0.645, 0.755, 0.245], [0.145, 0.500, 0.500], [0.645, 0.245, 0.245], [0.145, 0.000, 0.000], [0.645, 0.500, 0.500]],
  "dft_energy_ev_per_fu": -65.3,
  "rho_g_cm3": 5.92,
  "magmom_total_mub_per_fu": 0.67
}